The following is a DFT calculation (GGA-PBEsol) of crystalline Y3ZnW at its relaxed geometry.

formation energy from the elements	0.7079	eV/atom
uncorrected energy	-32.32	eV per formula unit
D(E_F)	4.918	states/eV/f.u.
SG	Pm-3m (221)

a b c (Å): 5.315 5.315 5.315
angles (deg): 90.00 90.00 90.00
Fractional coordinates of all 5 atoms:
Y1 0.000 0.000 0.500
Y2 0.000 0.500 0.000
Y3 0.500 0.000 0.000
Zn1 0.500 0.500 0.500
W1 0.000 0.000 0.000



The following is a DFT calculation (GGA-PBEsol) of crystalline SrZrSnI2 at its relaxed geometry.

uncorrected energy	-17.32	eV per formula unit
D(E_F)	3.964	states/eV/f.u.
ΔE_f (raw)	0.28	eV per atom
SG	P4/mmm (123)

a b c (Å): 5.993 5.993 5.669
angles (deg): 90.00 90.00 90.00
Fractional coordinates of all 5 atoms:
Sr1 0.000 0.000 0.000
Zr1 0.500 0.500 0.000
Sn1 0.500 0.500 0.500
I1 0.000 0.500 0.500
I2 0.500 0.000 0.500



The following is a DFT calculation (GGA-PBEsol) of crystalline Ce4ZrO10 at its relaxed geometry.

uncorrected energy	-139.86	eV per formula unit
D(E_F)	0.000	states/eV/f.u.
ΔE_f (raw)	-3.46	eV per atom
SG	R-3m (166)

a b c (Å): 15.471 15.471 15.471
angles (deg): 14.04 14.04 14.04
Fractional coordinates of all 15 atoms:
Ce1 0.103 0.103 0.103
Ce2 0.299 0.299 0.299
Ce3 0.701 0.701 0.701
Ce4 0.897 0.897 0.897
Zr1 0.500 0.500 0.500
O1 0.051 0.051 0.051
O2 0.153 0.153 0.153
O3 0.248 0.248 0.248
O4 0.350 0.350 0.350
O5 0.454 0.454 0.454
O6 0.546 0.546 0.546
O7 0.650 0.650 0.650
O8 0.752 0.752 0.752
O9 0.847 0.847 0.847
O10 0.949 0.949 0.949



The following is a DFT calculation (GGA-PBEsol) of crystalline Ag3Pb4 at its relaxed geometry.

formation energy from the elements	0.0831	eV/atom
uncorrected energy	-25.35	eV per formula unit
D(E_F)	2.373	states/eV/f.u.
SG	P6/mmm (191)

a b c (Å): 5.589 5.589 6.156
angles (deg): 90.00 90.00 120.00
Fractional coordinates of all 7 atoms:
Ag1 0.000 0.500 0.000
Ag2 0.500 0.000 0.000
Ag3 0.500 0.500 0.000
Pb1 0.000 0.000 0.249
Pb2 0.000 0.000 0.751
Pb3 0.333 0.667 0.500
Pb4 0.667 0.333 0.500



The following is a DFT calculation (GGA-PBEsol) of crystalline YZn3P3 at its relaxed geometry.

formation energy from the elements	-0.6037	eV/atom
uncorrected energy	-33.17	eV per formula unit
D(E_F)	0.159	states/eV/f.u.
SG	P6_3/mmc (194)

a b c (Å): 3.948 3.948 19.490
angles (deg): 90.00 90.00 120.00
Fractional coordinates of all 14 atoms:
Y1 0.000 0.000 0.000
Y2 0.000 0.000 0.500
Zn1 0.333 0.667 0.128
Zn2 0.333 0.667 0.372
Zn3 0.333 0.667 0.750
Zn4 0.667 0.333 0.250
Zn5 0.667 0.333 0.628
Zn6 0.667 0.333 0.872
P1 0.333 0.667 0.250
P2 0.333 0.667 0.585
P3 0.333 0.667 0.915
P4 0.667 0.333 0.085
P5 0.667 0.333 0.415
P6 0.667 0.333 0.750



The following is a DFT calculation (GGA-PBEsol) of crystalline Cu2TeCl at its relaxed geometry.

uncorrected energy	-13.47	eV per formula unit
D(E_F)	3.724	states/eV/f.u.
ΔE_f (raw)	0.18	eV per atom
SG	I-4m2 (119)

a b c (Å): 7.139 7.139 7.139
angles (deg): 151.22 151.22 41.15
Fractional coordinates of all 4 atoms:
Cu1 0.000 0.000 0.000
Cu2 0.750 0.250 0.500
Te1 0.500 0.500 0.000
Cl1 0.250 0.750 0.500